Arrangement i

BiI3F GGA-PBE optimized geometry; SG = C2/m (12)
1.0
-4.1401 0.2068 -5.7056
5.8145 -0.8433 -3.9010
-1.3854 -7.6635 5.2366
F I Bi
2 6 2
Cartesian
3.5225 -3.3500 -4.1344
-3.2335 -4.9500 -0.2356
-3.5577 -2.1943 -3.5009
-0.3828 -0.9460 -4.9743
1.2374 -2.6500 -1.5529
3.8466 -6.1058 -0.8691
-0.9484 -5.6500 -2.8171
0.6717 -7.3540 0.6044
-0.8676 -4.1057 0.1208
1.1566 -4.1943 -4.4908

Arrangement ii

BiI3F GGA-PBE optimized geometry; SG = Pm-3m (221)
1.0
-5.1194 0.1511 -1.5079
-1.3752 -2.6956 4.3986
-0.6368 4.6061 2.6236
I Bi F
3 1 1
Cartesian
-0.3184 2.3031 1.3118
-2.5597 0.0755 -0.7540
-0.6876 -1.3478 2.1993
-3.5657 1.0308 2.7572
0.0000 0.0000 0.0000

Which of them is the least stable? Correct choice: arrangement ii.

Arrangement i

InBiIF2 GGA-PBE optimized geometry; SG = P4/mmm (123)
1.0
-2.4617 0.4056 3.8577
-3.4794 -2.2506 -1.9837
2.3910 -5.5563 2.1100
F In I Bi
2 1 1 1
Cartesian
-1.7397 -1.1253 -0.9918
-1.2308 0.2028 1.9288
1.1955 -2.7781 1.0550
-1.7750 -3.7006 1.9920
0.0000 0.0000 0.0000

Arrangement ii

InBiIF2 GGA-PBE optimized geometry; SG = P4/mmm (123)
1.0
4.4803 0.0000 0.0000
0.0000 6.2108 0.0000
0.0000 0.0000 4.4803
Bi F In I
1 2 1 1
Cartesian
0.0000 3.1054 0.0000
2.2401 0.0000 0.0000
0.0000 0.0000 2.2401
0.0000 0.0000 0.0000
2.2401 3.1054 2.2401

Which of them is the least stable? Correct choice: arrangement ii.

Arrangement i

BiINF2 GGA-PBE optimized geometry; SG = P4/mmm (123)
1.0
4.4529 0.0000 0.0000
0.0000 4.4529 0.0000
0.0000 0.0000 4.9877
F I Bi N
2 1 1 1
Cartesian
2.2265 0.0000 0.0000
0.0000 2.2265 0.0000
2.2265 2.2265 2.4938
0.0000 0.0000 0.0000
0.0000 0.0000 2.4938

Arrangement ii

BiINF2 GGA-PBE optimized geometry; SG = P4/mmm (123)
1.0
-1.3019 3.0066 3.6759
-0.9615 -3.8995 2.8489
3.8404 0.0293 1.3362
N F Bi I
1 2 1 1
Cartesian
1.9202 0.0146 0.6681
-0.6510 1.5033 1.8380
-0.4808 -1.9498 1.4244
0.7884 -0.4318 3.9305
0.0000 0.0000 0.0000

Which of them is the least stable? Correct choice: arrangement ii.

Arrangement i

BiIN2F GGA-PBE optimized geometry; SG = P4/mmm (123)
1.0
4.2680 0.0000 0.0000
0.0000 4.2680 0.0000
0.0000 0.0000 4.4867
F N I Bi
1 2 1 1
Cartesian
0.0000 0.0000 2.2433
0.0000 2.1340 0.0000
2.1340 0.0000 0.0000
0.0000 0.0000 0.0000
2.1340 2.1340 2.2433

Arrangement ii

BiIN2F GGA-PBE optimized geometry; SG = P4/mmm (123)
1.0
4.5060 0.0000 0.0000
0.0000 4.5060 0.0000
0.0000 0.0000 4.3945
N F I Bi
2 1 1 1
Cartesian
0.0000 2.2530 0.0000
2.2530 0.0000 0.0000
0.0000 0.0000 2.1973
2.2530 2.2530 2.1973
0.0000 0.0000 0.0000

Which of them is the least stable? Correct choice: arrangement i.

Arrangement i

BiIN2F GGA-PBE optimized geometry; SG = P4/mmm (123)
1.0
-3.1830 -0.8073 3.0288
2.9621 -2.1866 2.5301
1.4479 5.3817 2.9560
N F I Bi
2 1 1 1
Cartesian
1.4811 -1.0933 1.2650
-1.5915 -0.4036 1.5144
0.6135 1.1939 4.2574
0.7240 2.6908 1.4780
0.0000 0.0000 0.0000

Arrangement ii

BiIN2F GGA-PBE optimized geometry; SG = P4/mmm (123)
1.0
-4.5758 1.3753 -0.2039
-0.7369 -2.9939 -3.6558
-1.0498 -3.0867 2.7394
Bi I F N
1 1 1 2
Cartesian
-3.1813 -2.3526 -0.5602
-0.5249 -1.5433 1.3697
0.0000 0.0000 0.0000
-2.2879 0.6877 -0.1020
-0.3685 -1.4969 -1.8279

Which of them is the least stable? Correct choice: arrangement ii.

Arrangement i

BiTeI2F GGA-PBE optimized geometry; SG = P4/mmm (123)
1.0
6.0490 0.0000 0.0000
0.0000 6.0490 0.0000
0.0000 0.0000 6.2624
F Bi I Te
1 1 2 1
Cartesian
3.0245 3.0245 3.1312
0.0000 0.0000 0.0000
0.0000 3.0245 0.0000
3.0245 0.0000 0.0000
0.0000 0.0000 3.1312

Arrangement ii

BiTeI2F GGA-PBE optimized geometry; SG = P4/mmm (123)
1.0
5.9917 0.0000 0.0000
0.0000 5.9917 0.0000
0.0000 0.0000 4.2543
Te Bi I F
1 1 2 1
Cartesian
0.0000 0.0000 2.1272
2.9959 2.9959 2.1272
2.9959 0.0000 0.0000
0.0000 2.9959 0.0000
0.0000 0.0000 0.0000

Which of them is the least stable? Correct choice: arrangement i.

Arrangement i

InBiF GGA-PBE optimized geometry; SG = P3m1 (156)
1.0
3.4036 0.0000 0.0000
-1.7018 2.9476 0.0000
0.0000 0.0000 7.4653
Bi F In
1 1 1
Cartesian
0.0000 0.0000 7.3732
1.7018 0.9825 3.0975
0.0000 1.9650 4.4598

Arrangement ii

InBiF GGA-PBE optimized geometry; SG = I4mm (107)
1.0
-1.7322 -2.1993 -3.4097
3.5434 -2.6262 -0.1062
-2.8075 -0.2622 4.4496
F Bi In
1 1 1
Cartesian
-1.0777 -1.5158 1.5252
-0.0621 -0.0873 0.0879
0.7140 -2.6821 -1.4869

Which of them is the least stable? Correct choice: arrangement ii.

Arrangement i

In3BiF GGA-PBE optimized geometry; SG = Pm-3m (221)
1.0
-2.1549 4.8659 -3.0036
-4.4747 0.5636 4.1233
3.5603 3.6534 3.3644
In F Bi
3 1 1
Cartesian
-2.2374 0.2818 2.0617
-1.0774 2.4330 -1.5018
1.7802 1.8267 1.6822
-1.5346 4.5415 2.2420
0.0000 0.0000 0.0000

Arrangement ii

In3BiF GGA-PBE optimized geometry; SG = Pm-3m (221)
1.0
-3.3137 2.0140 -3.3385
-0.9343 -4.6639 -1.8862
-3.7854 -0.6119 3.3880
F Bi In
1 1 3
Cartesian
0.0000 0.0000 0.0000
-4.0167 -1.6309 -0.9183
-1.8927 -0.3059 1.6940
-1.6568 1.0070 -1.6693
-0.4671 -2.3319 -0.9431

Which of them is the least stable? Correct choice: arrangement i.

Arrangement i

In2Bi2F GGA-PBE optimized geometry; SG = P4/mbm (127)
1.0
7.4899 0.0000 0.0000
0.0000 7.4899 0.0000
0.0000 0.0000 4.9307
F In Bi
2 4 4
Cartesian
0.0000 0.0000 0.0000
3.7449 3.7449 0.0000
6.4620 2.7171 2.4654
1.0278 4.7728 2.4654
4.7728 6.4620 2.4654
2.7171 1.0278 2.4654
5.1946 1.4497 0.0000
6.0402 5.1946 0.0000
1.4497 2.2952 0.0000
2.2952 6.0402 0.0000

Arrangement ii

In2Bi2F GGA-PBE optimized geometry; SG = P4/mbm (127)
1.0
8.6219 0.0000 0.0000
0.0000 8.6219 0.0000
0.0000 0.0000 3.7824
In Bi F
4 4 2
Cartesian
5.7218 1.4109 0.0000
7.2110 5.7218 0.0000
2.9000 7.2110 0.0000
1.4109 2.9000 0.0000
3.1137 1.1972 1.8912
1.1972 5.5082 1.8912
5.5082 7.4247 1.8912
7.4247 3.1137 1.8912
0.0000 0.0000 0.0000
4.3109 4.3109 0.0000

Which of them is the least stable? Correct choice: arrangement ii.

Arrangement i

InBiF3 GGA-PBE optimized geometry; SG = Pm-3m (221)
1.0
-1.9503 -1.5789 -4.0477
3.2214 -3.5027 -0.1859
-2.9154 -2.8141 2.5024
F In Bi
3 1 1
Cartesian
1.6107 -1.7513 -0.0929
-1.4577 -1.4070 1.2512
-0.9752 -0.7894 -2.0238
-0.8222 -3.9478 -0.8656
0.0000 0.0000 0.0000

Arrangement ii

InBiF3 GGA-PBE optimized geometry; SG = Pm-3m (221)
1.0
-4.2604 0.1256 -1.3662
-0.0350 -4.4656 -0.3013
-1.3716 -0.2761 4.2516
F In Bi
3 1 1
Cartesian
-0.0175 -2.2328 -0.1507
-0.6858 -0.1381 2.1258
-2.1302 0.0628 -0.6831
0.0000 0.0000 0.0000
-2.8335 -2.3081 1.2920

Which of them is the least stable? Correct choice: arrangement ii.

Arrangement i

InBi2F GGA-PBE optimized geometry; SG = I-42d (122)
1.0
-0.5483 -3.2998 3.1314
3.9306 1.2441 1.9993
-3.6185 5.7549 8.7832
Bi F In
4 2 2
Cartesian
-1.3205 3.5848 8.5750
0.1207 2.4779 11.0132
-0.7385 -0.3632 4.3033
1.4661 1.6989 3.9364
1.6912 -1.0278 2.5653
1.0017 2.9856 6.6739
0.0000 0.0000 0.0000
-1.2378 0.7136 7.2400

Arrangement ii

InBi2F GGA-PBE optimized geometry; SG = Fm-3m (225)
1.0
0.0000 3.6353 3.6353
3.6353 0.0000 3.6353
3.6353 3.6353 0.0000
Bi In F
2 1 1
Cartesian
1.8177 1.8177 1.8177
5.4530 5.4530 5.4530
3.6353 3.6353 3.6353
0.0000 0.0000 0.0000

Which of them is the least stable? Correct choice: arrangement i.

Arrangement i

Bi2IrF GGA-PBE optimized geometry; SG = I-42d (122)
1.0
-3.6035 -3.9074 1.9641
3.8323 -4.0475 -1.0210
2.6188 -3.1703 6.6721
Bi F Ir
4 2 2
Cartesian
-1.1024 -3.7232 2.7592
2.0670 -5.3789 5.3532
2.1472 -9.3202 5.8338
2.5834 -3.8281 1.2842
3.2827 -5.5976 3.0613
0.1144 -3.9774 0.4715
-0.4352 -5.5276 4.5539
0.0000 0.0000 0.0000

Arrangement ii

Bi2IrF GGA-PBE optimized geometry; SG = Fm-3m (225)
1.0
0.0000 3.3629 3.3629
3.3629 0.0000 3.3629
3.3629 3.3629 0.0000
Bi Ir F
2 1 1
Cartesian
1.6814 1.6814 1.6814
5.0443 5.0443 5.0443
3.3629 3.3629 3.3629
0.0000 0.0000 0.0000

Which of them is the least stable? Correct choice: arrangement i.

Arrangement i

BiIrN2F GGA-PBE optimized geometry; SG = P4/mmm (123)
1.0
-2.5373 0.2900 -2.9712
2.3605 -2.1923 -2.2298
-2.1018 -3.7195 1.4319
N Bi F Ir
2 1 1 1
Cartesian
1.1803 -1.0961 -1.1149
-1.2687 0.1450 -1.4856
-1.1393 -2.8109 -1.8846
-1.0509 -1.8598 0.7160
0.0000 0.0000 0.0000

Arrangement ii

BiIrN2F GGA-PBE optimized geometry; SG = P4/mmm (123)
1.0
-1.6200 1.1726 -3.8672
-2.2549 -3.7197 -0.1832
-3.2383 1.8684 1.9230
Ir Bi N F
1 1 2 1
Cartesian
-3.5566 -0.3394 -1.0637
0.0000 0.0000 0.0000
-0.8100 0.5863 -1.9336
-1.1275 -1.8598 -0.0916
-1.6192 0.9342 0.9615

Which of them is the least stable? Correct choice: arrangement ii.

Arrangement i

BiIrOF2 GGA-PBE optimized geometry; SG = P4/mmm (123)
1.0
-3.9176 0.9828 -2.3441
0.2725 -4.1195 -2.1825
-2.0008 -1.5578 2.6907
Bi F Ir O
1 2 1 1
Cartesian
-2.8230 -2.3473 -0.9180
0.1362 -2.0598 -1.0913
-1.9588 0.4914 -1.1721
0.0000 0.0000 0.0000
-1.0004 -0.7789 1.3453

Arrangement ii

BiIrOF2 GGA-PBE optimized geometry; SG = P4/mmm (123)
1.0
-2.3899 -3.6481 -1.1215
3.7016 -1.8932 -1.7298
0.9461 -1.8722 4.0737
Bi Ir F O
1 1 2 1
Cartesian
0.0000 0.0000 0.0000
1.1289 -3.7067 0.6112
1.8508 -0.9466 -0.8649
-1.1950 -1.8240 -0.5608
0.4731 -0.9361 2.0369

Which of them is the least stable? Correct choice: arrangement ii.